PuZnSn (PBE, optimized geometry); magnetic moment = 0.0 μB/f.u.; theoretical density = 11.285 g/cm³; space-group type = Aem2, No. 39; calculated formation energy = 207 meV/atom
1.0
11.120 0.000 0.000
0.000 4.760 0.000
0.000 0.000 4.760
Pu Zn Sn
4 4 4
direct
0.037 0.250 0.000
0.037 0.750 0.500
0.963 0.250 0.500
0.963 0.750 0.000
0.500 0.000 0.235
0.500 0.000 0.735
0.500 0.500 0.235
0.500 0.500 0.735
0.244 0.250 0.499
0.244 0.750 0.999
0.756 0.250 0.999
0.756 0.750 0.499